This record from Alexandria via LeMat-Bulk describes a relaxed TbCe2PrS5 crystal. The functional is PBE.

Cell: 4.928 4.928 10.605 Å, 90.00 90.00 90.00°
Space group P4/mmm (No. 123)
One atom of each set of equivalent atoms:
1 Tb 0.000 0.000 0.000 x1
2 Ce 0.500 0.500 0.189 x2
3 Pr 0.000 0.000 0.500 x1
4 S 0.000 0.000 0.250 x2
5 S 0.000 0.500 0.000 x2
6 S 0.500 0.500 0.500 x1

Results
M_tot: 3.32 μB/f.u.
Energy relative to the elements, uncorrected: -13.2 eV per formula unit



This record from Alexandria via LeMat-Bulk describes a relaxed Au2S2Cl crystal. The functional is PBE.

Cell: 4.883 4.883 8.370 Å, 90.00 90.00 90.00°
Space group I4/mmm (No. 139)
One atom of each set of equivalent atoms:
1 Au 0.000 0.500 0.250 x4
2 S 0.000 0.000 0.123 x4
3 Cl 0.000 0.000 0.500 x2

Results
M_tot: 0.00 μB/f.u.
ΔE to the lowest computed polymorph: 98.7 meV per atom
Energy relative to the elements, uncorrected: 1.3 eV per formula unit



This record from Alexandria via LeMat-Bulk describes a relaxed ErThOsI crystal. The functional is PBE.

Cell: 4.1670 4.1670 24.1278 Å, 90.00 90.00 120.00°
Space group R3m (No. 160, hexagonal axes)
One atom of each set of equivalent atoms:
1 Er 0.0000 0.0000 0.0000 x3
2 Th 0.0000 0.0000 0.2163 x3
3 Os 0.0000 0.0000 0.6073 x3
4 I 0.0000 0.0000 0.7721 x3

Results
M_tot: 0.00 μB/f.u.
Energy relative to the elements, uncorrected: -2.5 eV per formula unit



This record from Alexandria via LeMat-Bulk describes a relaxed Pm2ErTm3Sb6 crystal. The functional is PBE.

Cell: 19.136 4.394 8.780 Å, 90.00 103.17 90.00°
Space group C2/m (No. 12)
One atom of each set of equivalent atoms:
1 Pm 0.166 0.000 0.332 x4
2 Er 0.000 0.500 0.000 x2
3 Tm 0.000 0.500 0.500 x2
4 Tm 0.168 0.000 0.834 x4
5 Sb 0.003 0.000 0.751 x4
6 Sb 0.164 0.500 0.589 x4
7 Sb 0.166 0.500 0.076 x4

Results
M_tot: 0.00 μB/f.u.
Energy relative to the elements, uncorrected: -13.3 eV per formula unit



This record from Alexandria via LeMat-Bulk describes a relaxed YNiAu2 crystal. The functional is PBE.

Cell: 3.622 3.694 5.645 Å, 90.00 90.00 90.00°
Space group Pmmm (No. 47)
One atom of each set of equivalent atoms:
1 Y 0.000 0.000 0.000 x1
2 Ni 0.000 0.000 0.500 x1
3 Au 0.500 0.500 0.265 x2

Results
M_tot: 0.00 μB/f.u.
Energy of formation: -0.42 eV/atom



This record from Alexandria via LeMat-Bulk describes a relaxed CsTbGeO4 crystal. The functional is PBE.

Cell: 5.813 5.997 8.138 Å, 90.00 108.70 90.00°
Space group P2_1/m (No. 11)
One atom of each set of equivalent atoms:
1 Cs 0.194 0.250 0.433 x2
2 Tb 0.297 0.250 0.964 x2
3 Ge 0.244 0.750 0.148 x2
4 O 0.029 0.750 0.937 x2
5 O 0.058 0.750 0.282 x2
6 O 0.456 0.525 0.163 x4

Results
M_tot: 0.00 μB/f.u.
Energy relative to the elements, uncorrected: -16.7 eV per formula unit



This record from Alexandria via LeMat-Bulk describes a relaxed Be6CoNi3 crystal. The functional is PBE.

Cell: 6.316 3.677 7.832 Å, 90.00 107.00 90.00°
Space group P2_1/m (No. 11)
One atom of each set of equivalent atoms:
1 Be 0.046 0.250 0.404 x2
2 Be 0.139 0.250 0.708 x2
3 Be 0.150 0.750 0.187 x2
4 Be 0.240 0.250 0.003 x2
5 Be 0.343 0.750 0.791 x2
6 Be 0.443 0.250 0.602 x2
7 Co 0.053 0.750 0.890 x2
8 Ni 0.246 0.750 0.490 x2
9 Ni 0.353 0.250 0.301 x2
10 Ni 0.459 0.750 0.099 x2

Results
M_tot: 0.00 μB/f.u.
Energy of formation: -0.36 eV/atom



This record from Alexandria via LeMat-Bulk describes a relaxed CaTbCu2Si2 crystal. The functional is PBE.

Cell: 4.0997 4.0997 8.0700 Å, 90.00 90.00 120.00°
Space group P-3m1 (No. 164)
One atom of each set of equivalent atoms:
1 Ca 0.0000 0.0000 0.0000 x1
2 Tb 0.0000 0.0000 0.5000 x1
3 Cu 0.3333 0.6667 0.7431 x2
4 Si 0.3333 0.6667 0.2619 x2

Results
M_tot: 0.00 μB/f.u.
Energy relative to the elements, uncorrected: -3.2 eV per formula unit



This record from Alexandria via LeMat-Bulk describes a relaxed Pm8Sm3Y2 crystal. The functional is PBE.

Cell: 14.868 10.991 5.782 Å, 90.00 108.51 90.00°
Space group C2/m (No. 12)
One atom of each set of equivalent atoms:
1 Pm 0.075 0.000 0.236 x4
2 Pm 0.166 0.500 0.628 x4
3 Pm 0.170 0.271 0.163 x8
4 Sm 0.000 0.253 0.500 x4
5 Sm 0.000 0.500 0.000 x2
6 Y 0.171 0.000 0.799 x4

Results
M_tot: 0.00 μB/f.u.
Energy of formation: 0.18 eV/atom
ΔE to the lowest computed polymorph: 0.0 meV per atom



This record from Alexandria via LeMat-Bulk describes a relaxed KNpAs2 crystal. The functional is PBE.

Cell: 3.848 3.848 7.315 Å, 90.00 90.00 90.00°
Space group P4/mmm (No. 123)
One atom of each set of equivalent atoms:
1 K 0.000 0.000 0.000 x1
2 Np 0.000 0.000 0.500 x1
3 As 0.500 0.500 0.323 x2

Results
M_tot: 3.80 μB/f.u.
Energy of formation: -0.43 eV/atom
ΔE to the lowest computed polymorph: 16.7 meV per atom



This record from Alexandria via LeMat-Bulk describes a relaxed HfInFeNi crystal. The functional is PBE.

Cell: 6.281 6.281 6.281 Å, 90.00 90.00 90.00°
Space group F-43m (No. 216)
One atom of each set of equivalent atoms:
1 Hf 0.000 0.000 0.000 x4
2 In 0.000 0.000 0.500 x4
3 Fe 0.250 0.250 0.250 x4
4 Ni 0.250 0.250 0.750 x4

Results
M_tot: 0.98 μB/f.u.
Energy of formation: -0.20 eV/atom



This record from Alexandria via LeMat-Bulk describes a relaxed CdIn2SnI6 crystal. The functional is PBE.

Cell: 8.379 8.379 6.883 Å, 90.00 90.00 90.00°
Space group P4mm (No. 99)
One atom of each set of equivalent atoms:
1 Cd 0.000 0.000 0.000 x1
2 In 0.000 0.500 0.412 x2
3 Sn 0.500 0.500 0.032 x1
4 I 0.000 0.000 0.602 x1
5 I 0.240 0.240 0.144 x4
6 I 0.500 0.500 0.611 x1

Results
M_tot: 0.00 μB/f.u.
Energy relative to the elements, uncorrected: -4.4 eV per formula unit



This record from Alexandria via LeMat-Bulk describes a relaxed AgPRuI2 crystal. The functional is PBE.

Cell: 5.735 5.735 4.405 Å, 90.00 90.00 90.00°
Space group P4/mmm (No. 123)
One atom of each set of equivalent atoms:
1 Ag 0.000 0.000 0.000 x1
2 P 0.500 0.500 0.500 x1
3 Ru 0.500 0.500 0.000 x1
4 I 0.000 0.500 0.500 x2

Results
M_tot: 1.23 μB/f.u.
Energy relative to the elements, uncorrected: 3.8 eV per formula unit



This record from Alexandria via LeMat-Bulk describes a relaxed LiEuSc crystal. The functional is PBE.

Cell: 3.666 3.666 12.370 Å, 90.00 90.00 90.00°
Space group I4mm (No. 107)
One atom of each set of equivalent atoms:
1 Li 0.000 0.000 0.000 x2
2 Eu 0.000 0.000 0.326 x2
3 Sc 0.000 0.000 0.629 x2

Results
M_tot: 7.97 μB/f.u.
Energy of formation: 0.19 eV/atom



This record from Alexandria via LeMat-Bulk describes a relaxed Na5SrNbP4 crystal. The functional is PBE.

Cell: 9.341 16.161 7.385 Å, 90.00 90.38 90.00°
Space group Cc (No. 9)
One atom of each set of equivalent atoms:
1 Na 0.000 0.033 0.000 x4
2 Na 0.012 0.361 0.337 x4
3 Na 0.228 0.431 0.816 x4
4 Na 0.288 0.071 0.346 x4
5 Na 0.304 0.268 0.502 x4
6 Sr 0.209 0.235 0.007 x4
7 Nb 0.009 0.165 0.613 x4
8 P 0.004 0.307 0.719 x4
9 P 0.005 0.169 0.287 x4
10 P 0.219 0.096 0.725 x4
11 P 0.293 0.403 0.208 x4

Results
M_tot: 0.00 μB/f.u.
Energy of formation: -0.61 eV/atom



This record from Alexandria via LeMat-Bulk describes a relaxed HfAlPd2S crystal. The functional is PBE.

Cell: 4.484 4.484 4.754 Å, 90.00 90.00 90.00°
Space group P4/mmm (No. 123)
One atom of each set of equivalent atoms:
1 Hf 0.000 0.000 0.000 x1
2 Al 0.500 0.500 0.000 x1
3 Pd 0.000 0.500 0.500 x2
4 S 0.000 0.000 0.500 x1

Results
M_tot: 0.00 μB/f.u.
Energy relative to the elements, uncorrected: -1.3 eV per formula unit



This record from Alexandria via LeMat-Bulk describes a relaxed CaCS crystal. The functional is PBE.

Cell: 9.223 3.953 7.850 Å, 90.00 115.90 90.00°
Space group Cm (No. 8)
One atom of each set of equivalent atoms:
1 Ca 0.000 0.000 0.000 x2
2 Ca 0.112 0.000 0.633 x2
3 C 0.209 0.500 0.471 x2
4 C 0.335 0.500 0.625 x2
5 S 0.019 0.500 0.299 x2
6 S 0.173 0.500 0.919 x2

Results
M_tot: 0.00 μB/f.u.
ΔE to the lowest computed polymorph: 83.7 meV per atom
Energy relative to the elements, uncorrected: -2.2 eV per formula unit



This record from Alexandria via LeMat-Bulk describes a relaxed Cs2CaAuI5 crystal. The functional is PBE.

Cell: 4.738 22.977 15.600 Å, 90.00 90.00 90.00°
Space group Cmc2_1 (No. 36)
One atom of each set of equivalent atoms:
1 Cs 0.000 0.124 0.000 x4
2 Cs 0.000 0.127 0.380 x4
3 Ca 0.000 0.206 0.689 x4
4 Au 0.000 0.452 0.104 x4
5 I 0.000 0.065 0.694 x4
6 I 0.000 0.295 0.051 x4
7 I 0.000 0.299 0.326 x4
8 I 0.000 0.341 0.690 x4
9 I 0.000 0.498 0.944 x4

Results
M_tot: 0.00 μB/f.u.
Energy relative to the elements, uncorrected: -11.1 eV per formula unit



This record from Alexandria via LeMat-Bulk describes a relaxed NbGaMo crystal. The functional is PBE.

Cell: 4.5414 4.5414 2.7850 Å, 90.00 90.00 120.00°
Space group P3m1 (No. 156)
One atom of each set of equivalent atoms:
1 Nb 0.0000 0.0000 0.0000 x1
2 Ga 0.3333 0.6667 0.3942 x1
3 Mo 0.6667 0.3333 0.7087 x1

Results
M_tot: 0.00 μB/f.u.
Energy of formation: -0.09 eV/atom
ΔE to the lowest computed polymorph: 100.4 meV per atom



This record from Alexandria via LeMat-Bulk describes a relaxed Ac2Ce3PrN6 crystal. The functional is PBE.

Cell: 16.131 3.675 7.405 Å, 90.00 103.86 90.00°
Space group C2/m (No. 12)
One atom of each set of equivalent atoms:
1 Ac 0.165 0.000 0.331 x4
2 Ce 0.000 0.500 0.500 x2
3 Ce 0.164 0.000 0.835 x4
4 Pr 0.000 0.500 0.000 x2
5 N 0.007 0.000 0.741 x4
6 N 0.156 0.500 0.605 x4
7 N 0.170 0.500 0.062 x4

Results
M_tot: 0.00 μB/f.u.
Energy relative to the elements, uncorrected: -15.8 eV per formula unit



This record from Alexandria via LeMat-Bulk describes a relaxed LaInTe2I crystal. The functional is PBE.

Cell: 6.169 6.169 6.328 Å, 90.00 90.00 90.00°
Space group P4/mmm (No. 123)
One atom of each set of equivalent atoms:
1 La 0.000 0.000 0.000 x1
2 In 0.500 0.500 0.500 x1
3 Te 0.000 0.500 0.000 x2
4 I 0.000 0.000 0.500 x1

Results
M_tot: 0.00 μB/f.u.
ΔE to the lowest computed polymorph: 0.0 meV per atom
Energy relative to the elements, uncorrected: -3.1 eV per formula unit



This record from Alexandria via LeMat-Bulk describes a relaxed Al12Zn3Si crystal. The functional is PBE.

Cell: 4.926 4.926 11.012 Å, 90.00 90.00 90.00°
Space group P4/mmm (No. 123)
One atom of each set of equivalent atoms:
1 Al 0.000 0.000 0.000 x1
2 Al 0.000 0.000 0.250 x2
3 Al 0.000 0.000 0.500 x1
4 Al 0.000 0.500 0.125 x4
5 Al 0.000 0.500 0.375 x4
6 Zn 0.500 0.500 0.000 x1
7 Zn 0.500 0.500 0.247 x2
8 Si 0.500 0.500 0.500 x1

Results
M_tot: 0.00 μB/f.u.
Energy relative to the elements, uncorrected: 1.6 eV per formula unit



This record from Alexandria via LeMat-Bulk describes a relaxed PmTlCdO4 crystal. The functional is PBE.

Cell: 6.291 10.282 7.272 Å, 90.00 90.00 90.00°
Space group Cmcm (No. 63)
One atom of each set of equivalent atoms:
1 Pm 0.000 0.000 0.000 x4
2 Tl 0.000 0.339 0.250 x4
3 Cd 0.000 0.341 0.750 x4
4 O 0.000 0.226 0.003 x8
5 O 0.249 0.003 0.750 x8

Results
M_tot: 0.00 μB/f.u.
Energy relative to the elements, uncorrected: -11.7 eV per formula unit



| no. | raw total energy (eV/cell) |
| --- | --- |
| 1 | -55.15 |
| 2 | -30.67 |
| 3 | -81.78 |
| 4 | -131.00 |
| 5 | -20.47 |
| 6 | -93.20 |
| 7 | -100.91 |
| 8 | -28.91 |
| 9 | -125.46 |
| 10 | -25.06 |
| 11 | -110.95 |
| 12 | -24.11 |
| 13 | -16.86 |
| 14 | -35.91 |
| 15 | -186.65 |
| 16 | -29.48 |
| 17 | -70.41 |
| 18 | -103.42 |
| 19 | -24.21 |
| 20 | -193.09 |
| 21 | -18.63 |
| 22 | -52.54 |
| 23 | -158.41 |